VASP calculation (PBE-GGA) on a relaxed structure of ThP2PtRh5.

Cell: 3.991 3.991 10.283 Å, 90.00 90.00 90.00°
Space group P4/mmm (No. 123)
Inequivalent atoms, fractional coordinates:
Th  0.000  0.000  0.000 (multiplicity 1)
P  0.500  0.500  0.223 (multiplicity 2)
Pt  0.000  0.000  0.500 (multiplicity 1)
Rh  0.000  0.500  0.329 (multiplicity 4)
Rh  0.500  0.500  0.000 (multiplicity 1)

Summary:
The raw total energy is -7.282 eV per atom. The value obtained for the total magnetization is 0.0 μB per cell.

=====

VASP calculation (PBE-GGA) on a relaxed structure of KAgCl2.

Cell: 4.192 4.192 6.294 Å, 90.00 90.00 90.00°
Space group P4mm (No. 99)
Inequivalent atoms, fractional coordinates:
K  0.000  0.000  0.000 (multiplicity 1)
Ag  0.500  0.500  0.464 (multiplicity 1)
Cl  0.000  0.000  0.510 (multiplicity 1)
Cl  0.500  0.500  0.047 (multiplicity 1)

Summary:
The value obtained for the formation energy (no corrections) is -26.1 kcal/mol of atoms. The raw total energy is -3.040 eV per atom. The value obtained for the total magnetization is 0.0 μB per cell.